The following is a DFT calculation (GGA-PBE) of crystalline La3Nd12Sn5 at its relaxed geometry.

a = 18.8083 Å, b = 18.8083 Å, c = 18.8083 Å
α = 90.00°, β = 90.00°, γ = 90.00°
Space group Ia-3d (No. 230)
Inequivalent atoms, fractional coordinates:
La 0.0000 0.2500 0.1250
Nd 0.0276 0.0747 0.6451
Sn 0.0000 0.0000 0.0000
Sn 0.0000 0.2500 0.3750

Results
Total moment, μB/cell: 5.2
VASP energy, eV/cell: -692.4

***

The following is a DFT calculation (GGA-PBE) of crystalline ScPd6Pt2 at its relaxed geometry.

a = 7.3480 Å, b = 9.5111 Å, c = 8.4237 Å
α = 90.00°, β = 101.93°, γ = 90.00°
Space group C2/c (No. 15)
Inequivalent atoms, fractional coordinates:
Sc 0.0000 0.1289 0.2500
Pd 0.0023 0.1246 0.9179
Pd 0.1684 0.3720 0.8626
Pd 0.1685 0.3772 0.5263
Pt 0.1712 0.3769 0.1994

Results
E above lowest polymorph, eV per atom: 0.000
Total moment, μB/cell: 0.0
VASP energy, eV/cell: -210.8

***

The following is a DFT calculation (GGA-PBE) of crystalline FeCoHg at its relaxed geometry.

a = 5.8829 Å, b = 5.8829 Å, c = 5.8829 Å
α = 90.00°, β = 90.00°, γ = 90.00°
Space group F-43m (No. 216)
Inequivalent atoms, fractional coordinates:
Fe 0.0000 0.0000 0.0000
Co 0.2500 0.2500 0.7500
Hg 0.0000 0.0000 0.5000

Results
E above lowest polymorph, eV per atom: 0.341
Total moment, μB/cell: 17.4
VASP energy, eV/cell: -56.0

***

The following is a DFT calculation (GGA-PBE) of crystalline K5As at its relaxed geometry.

a = 7.0406 Å, b = 7.0406 Å, c = 7.5367 Å
α = 90.00°, β = 90.00°, γ = 120.00°
Space group P6/mmm (No. 191)
Inequivalent atoms, fractional coordinates:
K 0.0000 0.5000 0.0000
K 0.3333 0.6667 0.5000
As 0.0000 0.0000 0.5000

Results
E above lowest polymorph, eV per atom: 0.411
Total moment, μB/cell: 0.0
VASP energy, eV/cell: -8.4